# 1
EuInRh | meta-GGA SCAN | single point on PBEsol structure

The structure belongs to space group Pnma (No. 62); the cell edges are 7.2375, 4.2475 and 8.4300 Å and the angles 90.00°, 90.00° and 90.00°. The distinct sites, in fractional coordinates, are Eu at (0.0301, 0.2500, 0.1770), In at (0.1446, 0.2500, 0.5622) and Rh at (0.2325, 0.7500, 0.3703).

# 2
EuIn2Rh | meta-GGA SCAN | single point on PBEsol structure

The structure belongs to space group Cmcm (No. 63); the cell edges are 4.3111, 10.2098 and 7.9642 Å and the angles 90.00°, 90.00° and 90.00°. The distinct sites, in fractional coordinates, are Eu at (0.0000, 0.0647, 0.2500), In at (0.0000, 0.3526, 0.0514) and Rh at (0.0000, 0.2158, 0.7500).

Number 1: size of the total moment 28.1 Bohr magnetons per cell, energy relative to the elements -1.95 eV per formula unit. Number 2: size of the total moment 28.0 Bohr magnetons per cell, energy relative to the elements -2.59 eV per formula unit.